#w
A plane-wave DFT calculation with GGA-PBE was carried out for a geometry-optimized HfMg14W structure. Values from VASP.

Structure (Quantum ESPRESSO input):
```
&SYSTEM
  ibrav = 0, nat = 16, ntyp = 3
/
ATOMIC_SPECIES
W 183.84 W.upf
Mg 24.30 Mg.upf
Hf 178.49 Hf.upf
CELL_PARAMETERS angstrom
0.958 4.956 3.785
-2.432 -5.332 2.338
9.192 -3.311 2.008
ATOMIC_POSITIONS crystal
W 0.000 0.000 0.000
Mg 0.496 0.991 0.500
Mg 0.009 0.504 0.500
Mg 0.667 0.333 0.740
Mg 0.159 0.319 0.241
Mg 0.997 0.499 0.000
Mg 0.667 0.333 0.260
Mg 0.496 0.504 0.500
Mg 0.159 0.841 0.241
Mg 0.501 0.003 0.000
Mg 0.159 0.841 0.759
Mg 0.159 0.319 0.759
Mg 0.501 0.499 0.000
Mg 0.681 0.841 0.759
Mg 0.681 0.841 0.241
Hf 0.000 0.000 0.500
```

#x
A plane-wave DFT calculation with GGA-PBE was carried out for a geometry-optimized HfMg14W structure. Values from VASP.

Structure (Quantum ESPRESSO input):
```
&SYSTEM
  ibrav = 0, nat = 16, ntyp = 3
/
ATOMIC_SPECIES
Mg 24.30 Mg.upf
Hf 178.49 Hf.upf
W 183.84 W.upf
CELL_PARAMETERS angstrom
3.028 -5.581 0.000
3.028 5.581 0.000
0.000 0.000 10.191
ATOMIC_POSITIONS crystal
Mg 0.162 0.329 0.259
Mg 0.334 0.666 0.000
Mg 0.173 0.827 0.246
Mg 0.678 0.322 0.265
Mg 0.173 0.827 0.754
Mg 0.830 0.170 0.000
Mg 0.671 0.838 0.741
Mg 0.162 0.329 0.741
Mg 0.831 0.678 0.500
Mg 0.332 0.171 0.000
Mg 0.829 0.668 0.000
Mg 0.671 0.838 0.259
Mg 0.322 0.169 0.500
Mg 0.678 0.322 0.735
Hf 0.325 0.675 0.500
W 0.829 0.171 0.500
```

The winner here is #x, beating the second structure by 54 meV/atom.